This record from Alexandria via LeMat-Bulk describes a geometry-optimized InH structure. The functional is PBE.

Unit cell a=3.1311 b=3.1311 c=3.8855 alpha=90.00 beta=90.00 gamma=120.00
Atoms (fractional coordinates):
H 0.0000 0.0000 0.0000
In 0.0000 0.0000 0.5000

Calculated values
Energy relative to the lowest polymorph listed for this composition   0.38 eV per formula unit
Symmetry   No. 191
D(E_F)   0.233 states/eV/atom
V   33 Å³/f.u.
Final energy   -2.783 eV/atom